No. 1
Material: LiMnCr2
Method: DFT, PBE-GGA
State: relaxed

Lattice parameters (Å, degrees): 2.957 4.081 4.162 90.00 90.00 90.00
Fractional positions:
Li 0.000 0.000 0.000
Mn 0.500 0.500 0.000
Cr 0.000 0.500 0.500
Cr 0.500 0.000 0.500

Properties
The spin magnetization is 3.42 μB/f.u. As for the space group: Pmmm (47). The calculated formation energy is 130 kJ/mol of formula units. The energy above the most stable polymorph in this dataset is 92 meV/atom. The value obtained for the density of states at the Fermi level is 0.80 states/eV per atom.

No. 2
Material: KTcO3
Method: DFT, PBE-GGA
State: relaxed

Lattice parameters (Å, degrees): 5.133 6.054 6.668 114.88 98.98 92.36
Fractional positions:
K 0.247 0.317 0.175
K 0.753 0.683 0.825
Tc 0.228 0.973 0.557
Tc 0.772 0.027 0.443
O 0.009 0.764 0.285
O 0.258 0.886 0.783
O 0.463 0.225 0.564
O 0.537 0.775 0.436
O 0.742 0.114 0.217
O 0.991 0.236 0.715

Properties
The spin magnetization is 0.00 μB/f.u. As for the space group: P-1 (2). The value obtained for the density of states at the Fermi level is 0.00 states/eV per atom. For the uncorrected formation energy, the calculation gives -1.62 eV/atom.

No. 3
Material: Cs2CuTe2S6
Method: DFT, PBE-GGA
State: relaxed

Lattice parameters (Å, degrees): 6.779 6.779 8.605 97.76 97.76 121.50
Fractional positions:
Cs 0.162 0.838 0.000
Cs 0.838 0.162 0.000
Cu 0.000 0.000 0.500
Te 0.330 0.670 0.500
Te 0.670 0.330 0.500
S 0.060 0.392 0.678
S 0.239 0.239 0.342
S 0.392 0.060 0.678
S 0.608 0.940 0.322
S 0.761 0.761 0.658
S 0.940 0.608 0.322

Properties
The spin magnetization is 1.03 μB/f.u. As for the space group: C2/m (12). The value obtained for the density of states at the Fermi level is 0.52 states/eV per atom. For the uncorrected formation energy, the calculation gives -0.31 eV/atom.

No. 4
Material: Sm2YHo3
Method: DFT, PBE-GGA
State: relaxed

Lattice parameters (Å, degrees): 8.411 8.411 5.852 90.00 90.00 104.00
Fractional positions:
Sm 0.040 0.628 0.500
Sm 0.372 0.960 0.500
Sm 0.628 0.040 0.000
Sm 0.960 0.372 0.000
Y 0.298 0.702 0.000
Y 0.702 0.298 0.500
Ho 0.103 0.230 0.500
Ho 0.230 0.103 0.000
Ho 0.439 0.561 0.499
Ho 0.561 0.439 0.999
Ho 0.770 0.897 0.500
Ho 0.897 0.770 0.000

Properties
The spin magnetization is 0.00 μB/f.u. As for the space group: Cmc2_1 (36). The calculated formation energy is 145 kJ/mol of formula units. The energy above the most stable polymorph in this dataset is 128 meV/atom. The value obtained for the density of states at the Fermi level is 1.88 states/eV per atom.

Repeat the fourth record exactly.
Material: Sm2YHo3
Method: DFT, PBE-GGA
State: relaxed

Lattice parameters (Å, degrees): 8.411 8.411 5.852 90.00 90.00 104.00
Fractional positions:
Sm 0.040 0.628 0.500
Sm 0.372 0.960 0.500
Sm 0.628 0.040 0.000
Sm 0.960 0.372 0.000
Y 0.298 0.702 0.000
Y 0.702 0.298 0.500
Ho 0.103 0.230 0.500
Ho 0.230 0.103 0.000
Ho 0.439 0.561 0.499
Ho 0.561 0.439 0.999
Ho 0.770 0.897 0.500
Ho 0.897 0.770 0.000

Properties
The spin magnetization is 0.00 μB/f.u. As for the space group: Cmc2_1 (36). The calculated formation energy is 145 kJ/mol of formula units. The energy above the most stable polymorph in this dataset is 128 meV/atom. The value obtained for the density of states at the Fermi level is 1.88 states/eV per atom.

Q: spin magnetization of number 4 (Sm2YHo3)?
A: 0.00 μB/f.u.